# BeZn2Pb | Alexandria | meta-GGA SCAN | single point on PBEsol structure
data_BeZn2Pb
_space_group_name_H-M_alt 'F m -3 m'
_space_group_IT_number 225
_space_group_name_Hall '-F 4 2 3'
_cell_length_a 6.591
_cell_length_b 6.591
_cell_length_c 6.591
_cell_angle_alpha 90.00
_cell_angle_beta 90.00
_cell_angle_gamma 90.00
loop_
_atom_site_label
_atom_site_type_symbol
_atom_site_fract_x
_atom_site_fract_y
_atom_site_fract_z
_atom_site_occupancy
Be1 Be 0.000 0.000 0.000 1
Zn1 Zn 0.250 0.250 0.250 1
Pb1 Pb 0.000 0.000 0.500 1
# E_form in eV per formula unit: 2.46
# Size of the total moment in μB/f.u.: 0.00

# Be2ZnPb | Alexandria | meta-GGA SCAN | single point on PBEsol structure
data_Be2ZnPb
_space_group_name_H-M_alt 'F -4 3 m'
_space_group_IT_number 216
_space_group_name_Hall 'F -4 2 3'
_cell_length_a 6.397
_cell_length_b 6.397
_cell_length_c 6.397
_cell_angle_alpha 90.00
_cell_angle_beta 90.00
_cell_angle_gamma 90.00
loop_
_atom_site_label
_atom_site_type_symbol
_atom_site_fract_x
_atom_site_fract_y
_atom_site_fract_z
_atom_site_occupancy
Be1 Be 0.000 0.000 0.000 1
Be2 Be 0.250 0.250 0.250 1
Zn1 Zn 0.000 0.000 0.500 1
Pb1 Pb 0.250 0.250 0.750 1
# E_form in eV per formula unit: 3.18
# Size of the total moment in μB/f.u.: 0.00

# Be4ZnPb | Alexandria | meta-GGA SCAN | single point on PBEsol structure
data_Be4ZnPb
_space_group_name_H-M_alt 'F -4 3 m'
_space_group_IT_number 216
_space_group_name_Hall 'F -4 2 3'
_cell_length_a 6.734
_cell_length_b 6.734
_cell_length_c 6.734
_cell_angle_alpha 90.00
_cell_angle_beta 90.00
_cell_angle_gamma 90.00
loop_
_atom_site_label
_atom_site_type_symbol
_atom_site_fract_x
_atom_site_fract_y
_atom_site_fract_z
_atom_site_occupancy
Be1 Be 0.121 0.121 0.121 1
Zn1 Zn 0.250 0.250 0.750 1
Pb1 Pb 0.000 0.000 0.500 1
# E_form in eV per formula unit: 2.80
# Size of the total moment in μB/f.u.: 0.00

# BeZn2Pb | Alexandria | meta-GGA SCAN | single point on PBEsol structure
data_BeZn2Pb
_space_group_name_H-M_alt 'P m m 2'
_space_group_IT_number 25
_space_group_name_Hall 'P 2 -2'
_cell_length_a 3.065
_cell_length_b 3.315
_cell_length_c 6.801
_cell_angle_alpha 90.00
_cell_angle_beta 90.00
_cell_angle_gamma 90.00
loop_
_atom_site_label
_atom_site_type_symbol
_atom_site_fract_x
_atom_site_fract_y
_atom_site_fract_z
_atom_site_occupancy
Be1 Be 0.000 0.000 0.000 1
Zn1 Zn 0.000 0.000 0.640 1
Zn2 Zn 0.500 0.500 0.856 1
Pb1 Pb 0.500 0.500 0.309 1
# E_form in eV per formula unit: 1.54
# Size of the total moment in μB/f.u.: 0.00

# Be2ZnPb | Alexandria | meta-GGA SCAN | single point on PBEsol structure
data_Be2ZnPb
_space_group_name_H-M_alt 'I 41/a m d'
_space_group_IT_number 141
_cell_length_a 4.200
_cell_length_b 4.200
_cell_length_c 15.616
_cell_angle_alpha 90.00
_cell_angle_beta 90.00
_cell_angle_gamma 90.00
loop_
_space_group_symop_operation_xyz
'x,y,z'
'-x,-y,-z'
'-y+1/4,x+3/4,z+1/4'
'y+1/4,-x+3/4,-z+1/4'
'-x+1/2,-y,z+1/2'
'x+1/2,y,-z+1/2'
'y+1/4,-x+1/4,z+3/4'
'-y+1/4,x+1/4,-z+3/4'
'x,-y,-z'
'-x,y,z'
'-y+1/4,-x+1/4,-z+3/4'
'y+1/4,x+1/4,z+3/4'
'-x+1/2,y,-z+1/2'
'x+1/2,-y,z+1/2'
'y+1/4,x+3/4,-z+1/4'
'-y+1/4,-x+3/4,z+1/4'
'x+1/2,y+1/2,z+1/2'
'-x+1/2,-y+1/2,-z+1/2'
'-y+3/4,x+1/4,z+3/4'
'y+3/4,-x+1/4,-z+3/4'
'-x,-y+1/2,z'
'x,y+1/2,-z'
'y+3/4,-x+3/4,z+1/4'
'-y+3/4,x+3/4,-z+1/4'
'x+1/2,-y+1/2,-z+1/2'
'-x+1/2,y+1/2,z+1/2'
'-y+3/4,-x+3/4,-z+1/4'
'y+3/4,x+3/4,z+1/4'
'-x,y+1/2,-z'
'x,-y+1/2,z'
'y+3/4,x+1/4,-z+3/4'
'-y+3/4,-x+1/4,z+3/4'
loop_
_atom_site_label
_atom_site_type_symbol
_atom_site_fract_x
_atom_site_fract_y
_atom_site_fract_z
_atom_site_occupancy
Be1 Be 0.000 0.000 0.000 1
Zn1 Zn 0.000 0.250 0.875 1
Pb1 Pb 0.000 0.250 0.375 1
# E_form in eV per formula unit: 1.70
# Size of the total moment in μB/f.u.: 0.00

# Be2ZnPb | Alexandria | meta-GGA SCAN | single point on PBEsol structure
data_Be2ZnPb
_space_group_name_H-M_alt 'C 1 2/m 1'
_space_group_IT_number 12
_space_group_name_Hall '-C 2y'
_cell_length_a 5.513
_cell_length_b 8.384
_cell_length_c 3.383
_cell_angle_alpha 90.00
_cell_angle_beta 121.17
_cell_angle_gamma 90.00
loop_
_atom_site_label
_atom_site_type_symbol
_atom_site_fract_x
_atom_site_fract_y
_atom_site_fract_z
_atom_site_occupancy
Be1 Be 0.250 0.250 0.000 1
Zn1 Zn 0.000 0.000 0.000 1
Pb1 Pb 0.000 0.500 0.000 1
# E_form in eV per formula unit: 2.77
# Size of the total moment in μB/f.u.: 0.00

# Be2ZnPb | Alexandria | meta-GGA SCAN | single point on PBEsol structure
data_Be2ZnPb
_space_group_name_H-M_alt 'I -4 m 2'
_space_group_IT_number 119
_space_group_name_Hall 'I -4 -2'
_cell_length_a 3.876
_cell_length_b 3.876
_cell_length_c 8.197
_cell_angle_alpha 90.00
_cell_angle_beta 90.00
_cell_angle_gamma 90.00
loop_
_atom_site_label
_atom_site_type_symbol
_atom_site_fract_x
_atom_site_fract_y
_atom_site_fract_z
_atom_site_occupancy
Be1 Be 0.000 0.000 0.000 1
Be2 Be 0.000 0.500 0.250 1
Zn1 Zn 0.000 0.500 0.750 1
Pb1 Pb 0.000 0.000 0.500 1
# E_form in eV per formula unit: 2.50
# Size of the total moment in μB/f.u.: 0.00

# Be2ZnPb | Alexandria | meta-GGA SCAN | single point on PBEsol structure
data_Be2ZnPb
_space_group_name_H-M_alt 'P 4/m m m'
_space_group_IT_number 123
_space_group_name_Hall '-P 4 2'
_cell_length_a 3.094
_cell_length_b 3.094
_cell_length_c 6.637
_cell_angle_alpha 90.00
_cell_angle_beta 90.00
_cell_angle_gamma 90.00
loop_
_atom_site_label
_atom_site_type_symbol
_atom_site_fract_x
_atom_site_fract_y
_atom_site_fract_z
_atom_site_occupancy
Be1 Be 0.000 0.000 0.170 1
Zn1 Zn 0.500 0.500 0.000 1
Pb1 Pb 0.500 0.500 0.500 1
# E_form in eV per formula unit: 2.20
# Size of the total moment in μB/f.u.: 0.00

# Zr2BePb | Alexandria | meta-GGA SCAN | single point on PBEsol structure
data_Zr2BePb
_space_group_name_H-M_alt 'P m m 2'
_space_group_IT_number 25
_space_group_name_Hall 'P 2 -2'
_cell_length_a 3.353
_cell_length_b 3.991
_cell_length_c 6.120
_cell_angle_alpha 90.00
_cell_angle_beta 90.00
_cell_angle_gamma 90.00
loop_
_atom_site_label
_atom_site_type_symbol
_atom_site_fract_x
_atom_site_fract_y
_atom_site_fract_z
_atom_site_occupancy
Zr1 Zr 0.000 0.000 0.000 1
Zr2 Zr 0.500 0.500 0.251 1
Be1 Be 0.000 0.000 0.444 1
Pb1 Pb 0.500 0.500 0.723 1
# E_form in eV per formula unit: 0.39
# Size of the total moment in μB/f.u.: 0.00

# Zr2BePb | Alexandria | meta-GGA SCAN | single point on PBEsol structure
data_Zr2BePb
_space_group_name_H-M_alt 'P 4/m m m'
_space_group_IT_number 123
_space_group_name_Hall '-P 4 2'
_cell_length_a 4.249
_cell_length_b 4.249
_cell_length_c 4.263
_cell_angle_alpha 90.00
_cell_angle_beta 90.00
_cell_angle_gamma 90.00
loop_
_atom_site_label
_atom_site_type_symbol
_atom_site_fract_x
_atom_site_fract_y
_atom_site_fract_z
_atom_site_occupancy
Zr1 Zr 0.000 0.500 0.000 1
Be1 Be 0.000 0.000 0.500 1
Pb1 Pb 0.500 0.500 0.500 1
# E_form in eV per formula unit: -0.61
# Size of the total moment in μB/f.u.: 0.00

# Zr2BePb | Alexandria | meta-GGA SCAN | single point on PBEsol structure
data_Zr2BePb
_space_group_name_H-M_alt 'I m m 2'
_space_group_IT_number 44
_space_group_name_Hall 'I 2 -2'
_cell_length_a 3.697
_cell_length_b 4.451
_cell_length_c 9.510
_cell_angle_alpha 90.00
_cell_angle_beta 90.00
_cell_angle_gamma 90.00
loop_
_atom_site_label
_atom_site_type_symbol
_atom_site_fract_x
_atom_site_fract_y
_atom_site_fract_z
_atom_site_occupancy
Zr1 Zr 0.000 0.000 0.000 1
Zr2 Zr 0.000 0.500 0.232 1
Be1 Be 0.000 0.500 0.745 1
Pb1 Pb 0.000 0.000 0.457 1
# E_form in eV per formula unit: -0.29
# Size of the total moment in μB/f.u.: 0.00

# Zr2Be2Pb | Alexandria | meta-GGA SCAN | single point on PBEsol structure
data_Zr2Be2Pb
_space_group_name_H-M_alt 'P 4/m b m'
_space_group_IT_number 127
_space_group_name_Hall '-P 4 2ab'
_cell_length_a 6.523
_cell_length_b 6.523
_cell_length_c 3.900
_cell_angle_alpha 90.00
_cell_angle_beta 90.00
_cell_angle_gamma 90.00
loop_
_atom_site_label
_atom_site_type_symbol
_atom_site_fract_x
_atom_site_fract_y
_atom_site_fract_z
_atom_site_occupancy
Zr1 Zr 0.169 0.331 0.000 1
Be1 Be 0.113 0.613 0.500 1
Pb1 Pb 0.000 0.000 0.500 1
# E_form in eV per formula unit: -1.56
# Size of the total moment in μB/f.u.: 0.00

# ZrBePb | Alexandria | meta-GGA SCAN | single point on PBEsol structure
data_ZrBePb
_space_group_name_H-M_alt 'P 3 m 1'
_space_group_IT_number 156
_space_group_name_Hall 'P 3 -2"'
_cell_length_a 4.0774
_cell_length_b 4.0774
_cell_length_c 3.8453
_cell_angle_alpha 90.00
_cell_angle_beta 90.00
_cell_angle_gamma 120.00
loop_
_atom_site_label
_atom_site_type_symbol
_atom_site_fract_x
_atom_site_fract_y
_atom_site_fract_z
_atom_site_occupancy
Zr1 Zr 0.0000 0.0000 0.0000 1
Be1 Be 0.3333 0.6667 0.6053 1
Pb1 Pb 0.6667 0.3333 0.4804 1
# E_form in eV per formula unit: -0.49
# Size of the total moment in μB/f.u.: 0.00

# Zr2BePb | Alexandria | meta-GGA SCAN | single point on PBEsol structure
data_Zr2BePb
_space_group_name_H-M_alt 'P 1 2/m 1'
_space_group_IT_number 10
_space_group_name_Hall '-P 2y'
_cell_length_a 3.164
_cell_length_b 3.996
_cell_length_c 6.095
_cell_angle_alpha 90.00
_cell_angle_beta 90.78
_cell_angle_gamma 90.00
loop_
_atom_site_label
_atom_site_type_symbol
_atom_site_fract_x
_atom_site_fract_y
_atom_site_fract_z
_atom_site_occupancy
Zr1 Zr 0.006 0.000 0.271 1
Be1 Be 0.500 0.500 0.500 1
Pb1 Pb 0.500 0.500 0.000 1
# E_form in eV per formula unit: -0.47
# Size of the total moment in μB/f.u.: 0.00

# Be5Pd | Alexandria | meta-GGA SCAN | single point on PBEsol structure
data_Be5Pd
_space_group_name_H-M_alt 'F -4 3 m'
_space_group_IT_number 216
_space_group_name_Hall 'F -4 2 3'
_cell_length_a 5.948
_cell_length_b 5.948
_cell_length_c 5.948
_cell_angle_alpha 90.00
_cell_angle_beta 90.00
_cell_angle_gamma 90.00
loop_
_atom_site_label
_atom_site_type_symbol
_atom_site_fract_x
_atom_site_fract_y
_atom_site_fract_z
_atom_site_occupancy
Be1 Be 0.000 0.000 0.000 1
Be2 Be 0.125 0.125 0.625 1
Pd1 Pd 0.250 0.250 0.250 1
# E_form in eV per formula unit: -2.39
# Size of the total moment in μB/f.u.: 0.00